VASP calculation (PBE) on a geometry-optimized ZnFeCo4 structure.

Summary:
ΔH_f (0 K)	0.109	eV/atom
space-group type	F-43m
distance to the lowest polymorph of the same formula	113	meV per atom

Structure (POSCAR):
```
ZnFeCo4
1.0
0.000 3.309 3.309
3.309 0.000 3.309
3.309 3.309 0.000
Zn Fe Co
1 1 4
direct
0.000 0.000 0.000
0.250 0.250 0.250
0.125 0.625 0.625
0.625 0.125 0.625
0.625 0.625 0.125
0.625 0.625 0.625
```


VASP calculation (PBE) on a geometry-optimized Sm2TcN structure.

Summary:
space-group type	R-3m
formation energy (no corrections)	-0.0127	eV per atom

Structure (POSCAR):
```
Sm2TcN
1.0
1.694 0.978 8.351
-1.694 0.978 8.351
0.000 -1.957 8.351
Sm Tc N
2 1 1
direct
0.109 0.109 0.109
0.891 0.891 0.891
0.000 0.000 0.000
0.500 0.500 0.500
```


VASP calculation (PBE) on a geometry-optimized Ba2CaTe structure.

Summary:
space-group type	P4/mmm
formation energy (no corrections)	-0.5901	eV per atom

Structure (POSCAR):
```
Ba2CaTe
1.0
6.026 0.000 0.000
0.000 6.026 0.000
0.000 0.000 4.648
Ba Ca Te
2 1 1
direct
0.000 0.500 0.000
0.500 0.000 0.000
0.000 0.000 0.500
0.500 0.500 0.500
```


VASP calculation (PBE) on a geometry-optimized Be3Br structure.

Summary:
space-group type	Cmmm
formation energy (no corrections)	0.8953	eV per atom
distance to the lowest polymorph of the same formula	705	meV per atom

Structure (POSCAR):
```
Be3Br
1.0
2.283 -3.754 0.000
2.283 3.754 0.000
0.000 0.000 3.165
Be Br
3 1
direct
0.000 0.000 0.000
0.000 0.500 0.500
0.500 0.000 0.500
0.500 0.500 0.000
```


VASP calculation (PBE) on a geometry-optimized Ce3PuTl4S8 structure.

Summary:
space-group type	C2/m
formation energy (no corrections)	-1.1394	eV per atom

Structure (POSCAR):
```
Ce3PuTl4S8
1.0
7.571 -4.162 0.000
7.571 4.162 0.000
-0.097 0.000 6.940
Ce Pu Tl S
3 1 4 8
direct
0.000 0.000 0.000
0.000 0.500 0.500
0.500 0.000 0.500
0.500 0.500 0.000
0.000 0.000 0.500
0.000 0.500 0.000
0.500 0.000 0.000
0.500 0.500 0.500
0.168 0.668 0.781
0.169 0.169 0.718
0.330 0.330 0.284
0.332 0.832 0.219
0.668 0.168 0.781
0.670 0.670 0.716
0.831 0.831 0.282
0.832 0.332 0.219
```


VASP calculation (PBE) on a geometry-optimized Th2AlGa4Pt3 structure.

Summary:
ΔH_f (0 K)	-0.895	eV/atom
space-group type	P-4m2

Structure (POSCAR):
```
Th2AlGa4Pt3
1.0
4.253 0.000 0.000
0.000 4.253 0.000
0.000 0.000 10.740
Th Al Ga Pt
2 1 4 3
direct
0.000 0.500 0.245
0.500 0.000 0.755
0.000 0.000 0.500
0.000 0.000 0.000
0.000 0.500 0.637
0.500 0.000 0.363
0.500 0.500 0.000
0.000 0.500 0.867
0.500 0.000 0.133
0.500 0.500 0.500
```


VASP calculation (PBE) on a geometry-optimized U2GaTc2 structure.

Summary:
ΔH_f (0 K)	-0.098	eV/atom
space-group type	C2/m
distance to the lowest polymorph of the same formula	0	meV per atom

Structure (POSCAR):
```
U2GaTc2
1.0
5.268 -2.163 0.000
5.268 2.163 0.000
-2.196 0.000 8.030
U Ga Tc
4 2 4
direct
0.049 0.049 0.353
0.182 0.182 0.029
0.818 0.818 0.971
0.951 0.951 0.647
0.250 0.250 0.708
0.750 0.750 0.292
0.363 0.363 0.455
0.489 0.489 0.193
0.511 0.511 0.807
0.637 0.637 0.545
```


VASP calculation (PBE) on a geometry-optimized BaMgBi3 structure.

Summary:
ΔH_f (0 K)	-0.412	eV/atom
space-group type	Pbcm
distance to the lowest polymorph of the same formula	0	meV per atom

Structure (POSCAR):
```
BaMgBi3
1.0
15.273 0.000 0.000
0.000 6.610 0.000
0.000 0.000 6.877
Ba Mg Bi
4 4 12
direct
0.189 0.011 0.250
0.189 0.489 0.750
0.811 0.511 0.250
0.811 0.989 0.750
0.397 0.750 0.000
0.397 0.750 0.500
0.603 0.250 0.000
0.603 0.250 0.500
0.004 0.750 0.000
0.004 0.750 0.500
0.279 0.503 0.250
0.279 0.997 0.750
0.434 0.194 0.250
0.434 0.306 0.750
0.566 0.694 0.250
0.566 0.806 0.750
0.721 0.003 0.250
0.721 0.497 0.750
0.996 0.250 0.000
0.996 0.250 0.500
```


VASP calculation (PBE) on a geometry-optimized Na2UPSe5 structure.

Summary:
space-group type	Cmc2_1
formation energy (no corrections)	-0.7667	eV per atom

Structure (POSCAR):
```
Na2UPSe5
1.0
2.204 -8.956 0.000
2.204 8.956 0.000
0.000 0.000 12.770
Na U P Se
4 2 2 10
direct
0.103 0.897 0.500
0.109 0.891 0.820
0.891 0.109 0.320
0.897 0.103 0.000
0.209 0.791 0.196
0.791 0.209 0.696
0.436 0.564 0.582
0.564 0.436 0.082
0.049 0.951 0.158
0.299 0.701 0.831
0.309 0.691 0.544
0.355 0.645 0.162
0.492 0.508 0.427
0.508 0.492 0.927
0.645 0.355 0.662
0.691 0.309 0.044
0.701 0.299 0.331
0.951 0.049 0.658
```


VASP calculation (PBE) on a geometry-optimized AcSmTe2 structure.

Summary:
space-group type	Pmn2_1
formation energy (no corrections)	-1.0129	eV per atom
distance to the lowest polymorph of the same formula	421	meV per atom

Structure (POSCAR):
```
AcSmTe2
1.0
4.691 0.000 0.000
0.000 10.267 0.000
0.000 0.000 7.290
Ac Sm Te
2 2 4
direct
0.000 0.087 0.000
0.500 0.913 0.500
0.000 0.660 0.853
0.500 0.340 0.353
0.000 0.411 0.106
0.000 0.810 0.212
0.500 0.190 0.712
0.500 0.589 0.606
```


VASP calculation (PBE) on a geometry-optimized SrGePb structure.

Summary:
ΔH_f (0 K)	-0.404	eV/atom
space-group type	P3m1
distance to the lowest polymorph of the same formula	22	meV per atom

Structure (POSCAR):
```
SrGePb
1.0
4.500 0.000 0.000
-2.250 3.897 0.000
0.000 0.000 5.344
Sr Ge Pb
1 1 1
direct
0.000 0.000 0.000
0.333 0.667 0.671
0.667 0.333 0.439
```


VASP calculation (PBE) on a geometry-optimized CePuBiCl structure.

Summary:
space-group type	F-43m
formation energy (no corrections)	-0.8414	eV per atom

Structure (POSCAR):
```
CePuBiCl
1.0
0.000 3.808 3.808
3.808 0.000 3.808
3.808 3.808 0.000
Ce Pu Bi Cl
1 1 1 1
direct
0.000 0.000 0.000
0.500 0.500 0.500
0.250 0.250 0.250
0.750 0.750 0.750
```


VASP calculation (PBE) on a geometry-optimized Ca2TaC structure.

Summary:
ΔH_f (0 K)	0.555	eV/atom
space-group type	I-42d

Structure (POSCAR):
```
Ca2TaC
1.0
-4.929 4.929 2.105
4.929 -4.929 2.105
4.929 4.929 -2.105
Ca Ta C
4 2 2
direct
0.375 0.212 0.337
0.788 0.125 0.163
0.875 0.038 0.663
0.962 0.625 0.837
0.250 0.750 0.500
0.500 0.500 0.000
0.000 0.000 0.000
0.750 0.250 0.500
```


VASP calculation (PBE) on a geometry-optimized NbZn3Pb structure.

Summary:
ΔH_f (0 K)	0.809	eV/atom
space-group type	Pm-3m
distance to the lowest polymorph of the same formula	0	meV per atom

Structure (POSCAR):
```
NbZn3Pb
1.0
5.054 0.000 0.000
0.000 5.054 0.000
0.000 0.000 5.054
Nb Zn Pb
1 3 1
direct
0.000 0.000 0.000
0.000 0.000 0.500
0.000 0.500 0.000
0.500 0.000 0.000
0.500 0.500 0.500
```


VASP calculation (PBE) on a geometry-optimized AcPr3Ho7 structure.

Summary:
ΔH_f (0 K)	0.196	eV/atom
space-group type	P3m1

Structure (POSCAR):
```
AcPr3Ho7
1.0
7.137 0.000 0.000
-3.568 6.181 0.000
0.000 0.000 8.828
Ac Pr Ho
1 3 7
direct
0.000 0.000 0.000
0.168 0.336 0.656
0.168 0.832 0.656
0.664 0.832 0.656
0.002 0.501 0.000
0.333 0.667 0.319
0.335 0.168 0.325
0.499 0.501 0.000
0.499 0.998 0.000
0.832 0.168 0.325
0.832 0.665 0.325
```


VASP calculation (PBE) on a geometry-optimized SiOsW2 structure.

Summary:
space-group type	R3m
formation energy (no corrections)	0.1556	eV per atom

Structure (POSCAR):
```
SiOsW2
1.0
1.409 0.814 8.757
-1.409 0.814 8.757
0.000 -1.627 8.757
Si Os W
1 1 2
direct
0.000 0.000 0.000
0.743 0.743 0.743
0.251 0.251 0.251
0.492 0.492 0.492
```


VASP calculation (PBE) on a geometry-optimized Sr3B6O11F2 structure.

Summary:
space-group type	P2_1
formation energy (no corrections)	-2.8424	eV per atom

Structure (POSCAR):
```
Sr3B6O11F2
1.0
6.428 0.000 0.000
0.000 8.307 0.000
-1.945 0.000 9.403
Sr B O F
6 12 22 4
direct
0.018 0.000 0.230
0.438 0.354 0.466
0.455 0.843 0.948
0.545 0.343 0.052
0.562 0.854 0.534
0.982 0.500 0.770
0.010 0.678 0.447
0.071 0.362 0.141
0.103 0.140 0.935
0.105 0.896 0.632
0.273 0.620 0.210
0.326 0.143 0.732
0.674 0.643 0.268
0.727 0.120 0.790
0.895 0.396 0.368
0.897 0.640 0.065
0.929 0.862 0.859
0.990 0.178 0.553
0.012 0.804 0.733
0.054 0.516 0.445
0.078 0.964 0.957
0.093 0.708 0.162
0.138 0.217 0.075
0.160 0.778 0.525
0.178 0.243 0.626
0.274 0.455 0.199
0.292 0.175 0.875
0.306 0.972 0.695
0.455 0.702 0.274
0.545 0.202 0.726
0.694 0.472 0.305
0.708 0.675 0.125
0.726 0.955 0.801
0.822 0.743 0.374
0.840 0.278 0.475
0.862 0.717 0.925
0.907 0.208 0.838
0.922 0.464 0.043
0.946 0.016 0.555
0.988 0.304 0.267
0.340 0.559 0.902
0.369 0.071 0.389
0.631 0.571 0.611
0.660 0.059 0.098
```


VASP calculation (PBE) on a geometry-optimized ZrCuAu structure.

Summary:
ΔH_f (0 K)	-0.275	eV/atom
space-group type	Fdd2
distance to the lowest polymorph of the same formula	91	meV per atom

Structure (POSCAR):
```
ZrCuAu
1.0
0.000 5.202 4.214
2.460 0.000 4.214
2.460 5.202 0.000
Zr Cu Au
2 2 2
direct
0.000 0.000 0.000
0.250 0.250 0.250
0.669 0.669 0.331
0.919 0.919 0.581
0.336 0.336 0.664
0.586 0.586 0.914
```


VASP calculation (PBE) on a geometry-optimized MgUGa5Ir2 structure.

Summary:
ΔH_f (0 K)	-0.145	eV/atom
space-group type	P4/mmm

Structure (POSCAR):
```
MgUGa5Ir2
1.0
4.633 0.000 0.000
0.000 4.633 0.000
0.000 0.000 7.764
Mg U Ga Ir
1 1 5 2
direct
0.000 0.000 0.000
0.000 0.000 0.500
0.000 0.500 0.217
0.000 0.500 0.783
0.500 0.000 0.217
0.500 0.000 0.783
0.500 0.500 0.000
0.500 0.500 0.331
0.500 0.500 0.669
```


VASP calculation (PBE) on a geometry-optimized PrSmBr2 structure.

Summary:
space-group type	R3m
formation energy (no corrections)	-1.1290	eV per atom
distance to the lowest polymorph of the same formula	0	meV per atom

Structure (POSCAR):
```
PrSmBr2
1.0
1.847 1.066 9.373
-1.847 1.066 9.373
0.000 -2.133 9.373
Pr Sm Br
1 1 2
direct
0.000 0.000 0.000
0.164 0.164 0.164
0.580 0.580 0.580
0.750 0.750 0.750
```